This record from Alexandria describes an optimized crystal structure of Sr4CdW. The functional is GGA-PBE.

Unit cell a=6.880 b=6.880 c=6.880 alpha=60.00 beta=60.00 gamma=60.00
Sites, in units of the cell vectors:
Sr 0.124 0.124 0.124
Sr 0.124 0.124 0.627
Sr 0.124 0.627 0.124
Sr 0.627 0.124 0.124
Cd 0.500 0.500 0.500
W 0.750 0.750 0.750

Computed properties:
space-group type = No. 216
E_form = 1.199 eV/atom
raw total energy = -13.40 eV for the cell shown
magnetic moment = 3.9 μB/f.u.
crystal system = cubic

This record from Alexandria describes an optimized crystal structure of BaSb2Te. The functional is GGA-PBE.

Unit cell a=8.452 b=8.452 c=8.452 alpha=31.72 beta=31.72 gamma=31.72
Sites, in units of the cell vectors:
Ba 0.000 0.000 0.000
Sb 0.236 0.236 0.236
Sb 0.764 0.764 0.764
Te 0.500 0.500 0.500

Computed properties:
formation energy without anion corrections = -0.27 eV/atom
space-group type = No. 166
raw total energy = -14.39 eV for the cell shown
magnetic moment = 0.0 μB/f.u.
crystal system = trigonal

This record from Alexandria describes an optimized crystal structure of MnCoRe. The functional is GGA-PBE.

Unit cell a=4.493 b=4.493 c=4.493 alpha=146.21 beta=132.08 gamma=59.92
Sites, in units of the cell vectors:
Mn 0.000 0.000 0.000
Co 0.339 0.339 0.000
Re 0.671 0.671 0.000

Computed properties:
space-group type = No. 44
E_form = 0.059 eV/atom
raw total energy = -28.55 eV for the cell shown
magnetic moment = 2.2 μB/f.u.
energy relative to the lowest polymorph listed for this composition = 0.0000 eV/atom
crystal system = orthorhombic

This record from Alexandria describes an optimized crystal structure of La2Tl2Sn. The functional is GGA-PBE.

Unit cell a=8.041 b=8.041 c=4.841 alpha=90.00 beta=90.00 gamma=90.00
Sites, in units of the cell vectors:
La 0.170 0.330 0.000
La 0.330 0.830 0.000
La 0.670 0.170 0.000
La 0.830 0.670 0.000
Tl 0.133 0.633 0.500
Tl 0.367 0.133 0.500
Tl 0.633 0.867 0.500
Tl 0.867 0.367 0.500
Sn 0.000 0.000 0.500
Sn 0.500 0.500 0.500

Computed properties:
space-group type = No. 127
E_form = -0.449 eV/atom
raw total energy = -41.67 eV for the cell shown
magnetic moment = 0.0 μB/f.u.
energy relative to the lowest polymorph listed for this composition = 0.0271 eV/atom
crystal system = tetragonal

This record from Alexandria describes an optimized crystal structure of Sm5Fe2I2. The functional is GGA-PBE.

Unit cell a=9.312 b=9.312 c=7.817 alpha=90.00 beta=90.00 gamma=49.76
Sites, in units of the cell vectors:
Sm 0.000 0.000 0.000
Sm 0.055 0.728 0.663
Sm 0.228 0.555 0.163
Sm 0.272 0.945 0.663
Sm 0.445 0.772 0.163
Sm 0.500 0.500 0.500
Sm 0.555 0.228 0.837
Sm 0.728 0.055 0.337
Sm 0.772 0.445 0.837
Sm 0.945 0.272 0.337
Fe 0.115 0.885 0.386
Fe 0.385 0.615 0.886
Fe 0.615 0.385 0.114
Fe 0.885 0.115 0.614
I 0.214 0.214 0.000
I 0.286 0.286 0.500
I 0.714 0.714 0.500
I 0.786 0.786 0.000

Computed properties:
formation energy without anion corrections = -0.33 eV/atom
space-group type = No. 64
raw total energy = -93.26 eV for the cell shown
magnetic moment = 1.6 μB/f.u.
crystal system = orthorhombic

This record from Alexandria describes an optimized crystal structure of PrOsPbO6. The functional is GGA-PBE.

Unit cell a=5.771 b=5.771 c=5.034 alpha=90.00 beta=90.00 gamma=120.00
Sites, in units of the cell vectors:
Pr 0.000 0.000 0.000
Os 0.333 0.667 0.000
Pb 0.667 0.333 0.500
O 0.064 0.391 0.217
O 0.064 0.673 0.783
O 0.327 0.391 0.783
O 0.327 0.936 0.217
O 0.609 0.673 0.217
O 0.609 0.936 0.783

Computed properties:
formation energy without anion corrections = -1.60 eV/atom
space-group type = No. 149
raw total energy = -63.87 eV for the cell shown
magnetic moment = 0.6 μB/f.u.
crystal system = trigonal

This record from Alexandria describes an optimized crystal structure of BeAlPdRh. The functional is GGA-PBE.

Unit cell a=2.940 b=2.940 c=5.813 alpha=90.00 beta=90.00 gamma=90.00
Sites, in units of the cell vectors:
Be 0.000 0.000 0.000
Al 0.000 0.000 0.474
Pd 0.500 0.500 0.746
Rh 0.500 0.500 0.221

Computed properties:
space-group type = No. 99
E_form = -0.818 eV/atom
raw total energy = -23.28 eV for the cell shown
magnetic moment = 0.0 μB/f.u.
crystal system = tetragonal

This record from Alexandria describes an optimized crystal structure of RbNbCd2. The functional is GGA-PBE.

Unit cell a=5.429 b=5.429 c=5.429 alpha=60.00 beta=60.00 gamma=60.00
Sites, in units of the cell vectors:
Rb 0.000 0.000 0.000
Nb 0.500 0.500 0.500
Cd 0.250 0.250 0.250
Cd 0.750 0.750 0.750

Computed properties:
space-group type = No. 225
E_form = 0.873 eV/atom
raw total energy = -9.38 eV for the cell shown
magnetic moment = 3.5 μB/f.u.
energy relative to the lowest polymorph listed for this composition = 0.0000 eV/atom
crystal system = cubic

This record from Alexandria describes an optimized crystal structure of K2ReHg. The functional is GGA-PBE.

Unit cell a=3.771 b=3.771 c=10.064 alpha=90.00 beta=90.00 gamma=90.00
Sites, in units of the cell vectors:
K 0.000 0.000 0.000
K 0.500 0.500 0.416
Re 0.000 0.000 0.679
Hg 0.500 0.500 0.740

Computed properties:
space-group type = No. 99
E_form = 0.997 eV/atom
raw total energy = -10.96 eV for the cell shown
magnetic moment = 1.7 μB/f.u.
crystal system = tetragonal

This record from Alexandria describes an optimized crystal structure of Li2CeHo2Sn2. The functional is GGA-PBE.

Unit cell a=9.297 b=9.297 c=9.297 alpha=30.11 beta=30.11 gamma=30.11
Sites, in units of the cell vectors:
Li 0.088 0.088 0.088
Li 0.912 0.912 0.912
Ce 0.500 0.500 0.500
Ho 0.370 0.370 0.370
Ho 0.630 0.630 0.630
Sn 0.240 0.240 0.240
Sn 0.760 0.760 0.760

Computed properties:
space-group type = No. 166
E_form = -0.405 eV/atom
raw total energy = -29.76 eV for the cell shown
magnetic moment = 1.5 μB/f.u.
crystal system = trigonal

This record from Alexandria describes an optimized crystal structure of ReW2Au. The functional is GGA-PBE.

Unit cell a=2.815 b=2.815 c=8.212 alpha=90.00 beta=90.00 gamma=90.00
Sites, in units of the cell vectors:
Re 0.000 0.000 0.000
W 0.500 0.500 0.233
W 0.500 0.500 0.767
Au 0.000 0.000 0.500

Computed properties:
space-group type = No. 123
E_form = 0.317 eV/atom
raw total energy = -40.36 eV for the cell shown
magnetic moment = 0.0 μB/f.u.
energy relative to the lowest polymorph listed for this composition = 0.0479 eV/atom
crystal system = tetragonal

This record from Alexandria describes an optimized crystal structure of Nd2IBr2. The functional is GGA-PBE.

Unit cell a=8.095 b=8.095 c=8.095 alpha=121.31 beta=121.31 gamma=87.75
Sites, in units of the cell vectors:
Nd 0.250 0.000 0.250
Nd 0.750 0.000 0.250
Nd 0.750 0.000 0.750
Nd 0.750 0.500 0.750
I 0.297 0.797 0.500
I 0.547 0.547 0.000
Br 0.013 0.290 0.277
Br 0.013 0.736 0.723
Br 0.040 0.263 0.777
Br 0.486 0.263 0.223

Computed properties:
formation energy without anion corrections = -1.16 eV/atom
space-group type = No. 109
raw total energy = -40.46 eV for the cell shown
magnetic moment = 1.6 μB/f.u.
crystal system = tetragonal